No. 1
Entry from Alexandria via LeMat-Bulk: a relaxed Cs3NdCl6 crystal (PBE-GGA).

CIF file:
```
data_Cs3NdCl6
_chemical_formula_sum 'Cs6 Nd2 Cl12'
_cell_length_a 8.201
_cell_length_b 8.631
_cell_length_c 14.157
_cell_angle_alpha 90.00
_cell_angle_beta 124.45
_cell_angle_gamma 90.00
_symmetry_space_group_name_H-M 'P 1'
_symmetry_Int_Tables_number 1
_symmetry_space_group_name_Hall 'P 1'
loop_
_atom_site_label
_atom_site_type_symbol
_atom_site_fract_x
_atom_site_fract_y
_atom_site_fract_z
_atom_site_occupancy
Cs1 Cs 0.000 0.000 0.000 1
Cs2 Cs 0.000 0.500 0.500 1
Cs3 Cs 0.220 0.064 0.744 1
Cs4 Cs 0.220 0.436 0.244 1
Cs5 Cs 0.780 0.564 0.756 1
Cs6 Cs 0.780 0.936 0.256 1
Nd1 Nd 0.500 0.000 0.500 1
Nd2 Nd 0.500 0.500 0.000 1
Cl1 Cl 0.181 0.176 0.451 1
Cl2 Cl 0.181 0.324 0.951 1
Cl3 Cl 0.263 0.738 0.429 1
Cl4 Cl 0.263 0.762 0.929 1
Cl5 Cl 0.396 0.052 0.280 1
Cl6 Cl 0.396 0.448 0.780 1
Cl7 Cl 0.604 0.552 0.220 1
Cl8 Cl 0.604 0.948 0.720 1
Cl9 Cl 0.737 0.238 0.071 1
Cl10 Cl 0.737 0.262 0.571 1
Cl11 Cl 0.819 0.676 0.049 1
Cl12 Cl 0.819 0.824 0.549 1
```

Output
space group = P2_1/c, No. 14
energy above the most stable polymorph in this dataset = 5.1 meV per atom
energy relative to the elements, uncorrected = -2080 kJ/mol of formula units
DOS(E_F) = 0.000 states/eV/atom
E = -3.997 eV per atom


No. 2
Entry from Alexandria via LeMat-Bulk: a relaxed ZnSnH6Ru2 crystal (PBE-GGA).

CIF file:
```
data_ZnSnH6Ru2
_chemical_formula_sum 'Zn2 Sn2 H12 Ru4'
_cell_length_a 6.615
_cell_length_b 6.615
_cell_length_c 4.684
_cell_angle_alpha 99.06
_cell_angle_beta 99.06
_cell_angle_gamma 107.66
_symmetry_space_group_name_H-M 'P 1'
_symmetry_Int_Tables_number 1
_symmetry_space_group_name_Hall 'P 1'
loop_
_atom_site_label
_atom_site_type_symbol
_atom_site_fract_x
_atom_site_fract_y
_atom_site_fract_z
_atom_site_occupancy
Zn1 Zn 0.200 0.800 0.750 1
Zn2 Zn 0.800 0.200 0.250 1
Sn1 Sn 0.396 0.604 0.250 1
Sn2 Sn 0.604 0.396 0.750 1
H1 H 0.033 0.821 0.411 1
H2 H 0.060 0.458 0.878 1
H3 H 0.179 0.967 0.089 1
H4 H 0.186 0.194 0.309 1
H5 H 0.194 0.186 0.809 1
H6 H 0.458 0.060 0.378 1
H7 H 0.542 0.940 0.622 1
H8 H 0.806 0.814 0.191 1
H9 H 0.814 0.806 0.691 1
H10 H 0.821 0.033 0.911 1
H11 H 0.940 0.542 0.122 1
H12 H 0.967 0.179 0.589 1
Ru1 Ru 0.181 0.394 0.621 1
Ru2 Ru 0.394 0.181 0.121 1
Ru3 Ru 0.606 0.819 0.879 1
Ru4 Ru 0.819 0.606 0.379 1
```

Output
space group = C2/c, No. 15
DOS(E_F) = 0.025 states/eV/atom
E = -4.353 eV per atom


No. 3
Entry from Alexandria via LeMat-Bulk: a relaxed AcZnH8Ir2 crystal (PBE-GGA).

CIF file:
```
data_AcZnH8Ir2
_chemical_formula_sum 'Ac1 Zn1 H8 Ir2'
_cell_length_a 6.219
_cell_length_b 6.219
_cell_length_c 6.219
_cell_angle_alpha 45.43
_cell_angle_beta 45.43
_cell_angle_gamma 45.43
_symmetry_space_group_name_H-M 'P 1'
_symmetry_Int_Tables_number 1
_symmetry_space_group_name_Hall 'P 1'
loop_
_atom_site_label
_atom_site_type_symbol
_atom_site_fract_x
_atom_site_fract_y
_atom_site_fract_z
_atom_site_occupancy
Ac1 Ac 0.000 0.000 0.000 1
Zn1 Zn 0.500 0.500 0.500 1
H1 H 0.118 0.563 0.563 1
H2 H 0.315 0.315 0.315 1
H3 H 0.437 0.437 0.882 1
H4 H 0.437 0.882 0.437 1
H5 H 0.563 0.118 0.563 1
H6 H 0.563 0.563 0.118 1
H7 H 0.685 0.685 0.685 1
H8 H 0.882 0.437 0.437 1
Ir1 Ir 0.216 0.216 0.216 1
Ir2 Ir 0.784 0.784 0.784 1
```

Output
space group = R-3m, No. 166
DOS(E_F) = 0.144 states/eV/atom
E = -4.339 eV per atom


No. 4
Entry from Alexandria via LeMat-Bulk: a relaxed LiY2Se crystal (PBE-GGA).

CIF file:
```
data_LiY2Se
_chemical_formula_sum 'Li3 Y6 Se3'
_cell_length_a 3.933
_cell_length_b 3.933
_cell_length_c 23.588
_cell_angle_alpha 90.00
_cell_angle_beta 90.00
_cell_angle_gamma 120.00
_symmetry_space_group_name_H-M 'P 1'
_symmetry_Int_Tables_number 1
_symmetry_space_group_name_Hall 'P 1'
loop_
_atom_site_label
_atom_site_type_symbol
_atom_site_fract_x
_atom_site_fract_y
_atom_site_fract_z
_atom_site_occupancy
Li1 Li 0.000 0.000 0.000 1
Li2 Li 0.333 0.667 0.667 1
Li3 Li 0.667 0.333 0.333 1
Y1 Y 0.000 0.000 0.240 1
Y2 Y 0.000 0.000 0.760 1
Y3 Y 0.333 0.667 0.427 1
Y4 Y 0.333 0.667 0.907 1
Y5 Y 0.667 0.333 0.093 1
Y6 Y 0.667 0.333 0.573 1
Se1 Se 0.000 0.000 0.500 1
Se2 Se 0.333 0.667 0.167 1
Se3 Se 0.667 0.333 0.833 1
```

Output
space group = R-3m, No. 166
energy relative to the elements, uncorrected = -286 kJ/mol of formula units
DOS(E_F) = 1.053 states/eV/atom
E = -5.322 eV per atom